[1]
A relaxed structure of La3HgRu, computed with PBE.

Output
* energy relative to the lowest polymorph listed for this composition: 328 meV/atom
* formation energy from the elements: -53 meV per atom

Cell lengths 7.7645, 7.7645, 6.3915 Å; angles 90.00, 90.00, 129.92 degrees
With the nearest neighbours (Å) after each atom.
Element x y z (fractional)
La1 0.0000 0.0000 0.5000  2 Ru 2.81
Ru1 0.8358 0.1642 0.7500  4 La 2.61-2.81
Hg1 0.4189 0.5811 0.7500  2 Ru 3.49, 6 La 3.52-3.83
La2 0.4365 0.0461 0.7500  1 Ru 2.61
La3 0.0000 0.0000 0.0000  2 Ru 2.81
La4 0.9539 0.5635 0.7500  1 Ru 2.61
Ru2 0.1642 0.8358 0.2500  4 La 2.61-2.81
La5 0.0461 0.4365 0.2500  1 Ru 2.61
Hg2 0.5811 0.4189 0.2500  2 Ru 3.49, 6 La 3.52-3.83
La6 0.5635 0.9539 0.2500  1 Ru 2.61


[2]
A relaxed structure of La3HgRu, computed with PBE.

Output
* energy relative to the lowest polymorph listed for this composition: 48 meV/atom
* formation energy from the elements: -333 meV per atom

Cell lengths 6.5267, 8.0553, 6.2898 Å; angles 76.07, 87.37, 103.34 degrees
With the nearest neighbours (Å) after each atom.
Element x y z (fractional)
La1 0.7161 0.2127 0.0186  2 Ru 2.82-2.86
La2 0.5390 0.7672 0.3870  2 Ru 2.78-2.95
Hg1 0.0855 0.9809 0.2279  6 La 3.32-3.57, 1 Hg 3.39
Ru1 0.6315 0.4874 0.6896  6 La 2.76-2.95
La3 0.2616 0.4396 0.9549  2 Ru 2.77-2.87
La4 0.9851 0.5113 0.4143  2 Ru 2.76-2.78
La5 0.8858 0.7849 0.8371  2 Ru 2.93-2.95
Hg2 0.4044 0.8557 0.8898  7 La 3.18-3.52, 1 Hg 3.39
Ru2 0.6291 0.4920 0.1873  6 La 2.78-2.95
La6 0.3828 0.2077 0.5270  2 Ru 2.83-2.89


[3]
A relaxed structure of La4Hg2Ru, computed with PBE.

Output
* energy relative to the lowest polymorph listed for this composition: 0 meV/atom
* formation energy from the elements: -398 meV per atom

Cell lengths 4.7549, 6.2524, 8.2490 Å; angles 73.57, 73.25, 67.65 degrees
With the nearest neighbours (Å) after each atom.
Element x y z (fractional)
Hg1 0.6443 0.3759 0.3356  1 Hg 3.20, 8 La 3.35-3.47
Hg2 0.3557 0.6241 0.6644  1 Hg 3.20, 8 La 3.35-3.47
La1 0.9320 0.7921 0.3440  1 Ru 2.75
La2 0.3315 0.2772 0.0598  2 Ru 2.96
La3 0.0680 0.2079 0.6560  1 Ru 2.75
Ru1 0.0000 0.0000 0.0000  6 La 2.75-2.96
La4 0.6685 0.7228 0.9402  2 Ru 2.96


[4]
A relaxed structure of La3HgRu, computed with PBE.

Output
* energy relative to the lowest polymorph listed for this composition: 233 meV/atom
* formation energy from the elements: -148 meV per atom

Cell lengths 10.1995, 10.1995, 10.1995 Å; angles 60.00, 60.00, 60.00 degrees
With the nearest neighbours (Å) after each atom.
Element x y z (fractional)
Hg1 0.1250 0.6250 0.6250  6 La 3.53
Hg2 0.6250 0.1250 0.6250  6 La 3.53
La1 0.4554 0.0446 0.4554  2 Ru 2.80
Ru1 0.1250 0.1250 0.1250  6 La 2.80
La2 0.2054 0.7946 0.7946  2 Ru 2.80
La3 0.0446 0.0446 0.4554  2 Ru 2.80
La4 0.7946 0.2054 0.7946  2 Ru 2.80
La5 0.2054 0.2054 0.7946  2 Ru 2.80
Ru2 0.1250 0.1250 0.6250  6 La 2.80
La6 0.2054 0.7946 0.2054  2 Ru 2.80
Ru3 0.1250 0.6250 0.1250  6 La 2.80
Hg3 0.6250 0.6250 0.6250  6 La 3.53
La7 0.7946 0.2054 0.2054  2 Ru 2.80
La8 0.0446 0.4554 0.0446  2 Ru 2.80
La9 0.7946 0.7946 0.2054  2 Ru 2.80
La10 0.4554 0.0446 0.0446  2 Ru 2.80
La11 0.4554 0.4554 0.0446  2 Ru 2.80
Ru4 0.6250 0.1250 0.1250  6 La 2.80
La12 0.0446 0.4554 0.4554  2 Ru 2.80
Hg4 0.6250 0.6250 0.1250  6 La 3.53


[5]
A relaxed structure of La6Hg3Ru2, computed with PBE.

Output
* formation energy from the elements: -313 meV per atom

Cell lengths 5.3501, 5.3501, 12.1996 Å; angles 102.67, 102.67, 90.00 degrees
With the nearest neighbours (Å) after each atom.
Element x y z (fractional)
Hg1 0.1692 0.1692 0.3384  5 La 3.06-3.30
La1 0.9139 0.4139 0.8278  2 Ru 2.73
Hg2 0.8308 0.8308 0.6616  5 La 3.06-3.30
La2 0.4139 0.9139 0.8278  2 Ru 2.73
Ru1 0.4375 0.4375 0.8751  4 La 2.73, 1 Ru 2.90
La3 0.5861 0.0861 0.1722  2 Ru 2.73
La4 0.0861 0.5861 0.1722  2 Ru 2.73
Ru2 0.5625 0.5625 0.1249  4 La 2.73, 1 Ru 2.90
La5 0.3011 0.3011 0.6022  1 Hg 3.06, 1 Ru 3.17
Hg3 0.0000 0.0000 0.0000  8 La 3.34
La6 0.6989 0.6989 0.3978  1 Hg 3.06, 1 Ru 3.17


[6]
A relaxed structure of La3HgRu, computed with PBE.

Output
* energy relative to the lowest polymorph listed for this composition: 28 meV/atom
* formation energy from the elements: -353 meV per atom

Cell lengths 6.3726, 6.5977, 7.1505 Å; angles 100.01, 76.10, 94.59 degrees
With the nearest neighbours (Å) after each atom.
Element x y z (fractional)
Ru1 0.4394 0.9163 0.5179  5 La 2.78-2.94, 1 Hg 2.95, 1 Ru 3.10
La1 0.7139 0.9581 0.1596  2 Ru 2.78-2.89
La2 0.6633 0.4696 0.4900  1 Ru 2.91
Hg1 0.7225 0.4235 0.0071  1 Ru 2.95, 1 La 3.22
Hg2 0.2253 0.2201 0.3759  1 Ru 2.95, 1 La 3.22
La3 0.2340 0.6856 0.2233  2 Ru 2.78-2.89
La4 0.8252 0.0012 0.6487  2 Ru 2.82-2.94
La5 0.1227 0.6425 0.7342  2 Ru 2.82-2.94
La6 0.2845 0.1741 0.8931  1 Ru 2.91
Ru2 0.5085 0.7274 0.8651  5 La 2.78-2.94, 1 Hg 2.95, 1 Ru 3.10


Values for energy, eV for the cell shown, ordered as above
-49.25; -52.05; -32.38; -100.41; -52.47; -52.25
Values for DOS at the Fermi energy, states/eV/cell, ordered as above
8.888; 10.929; 7.410; 23.607; 10.314; 6.400